# 1
Computed, not measured: crystalline CsBH2F8 at its relaxed geometry at the PBE level of DFT.

a = 5.4120 Å, b = 4.2827 Å, c = 8.4393 Å
α = 62.29°, β = 69.03°, γ = 70.69°
Last column: nearest neighbours and their distance in Å.
Fractional positions:
Cs  0.0000  0.0000  0.5000  10 F 3.08-3.31
F  0.4546  0.4619  0.3412  1 H 0.96
F  0.8833  0.4176  0.8935  1 B 1.60
F  0.6148  0.8192  0.9827  1 H 1.69, 1 F 1.71
F  0.1496  0.9881  0.8285  1 B 1.40
B  0.0000  0.0000  0.0000  2 F 1.40
H  0.4851  0.4387  0.7914  1 F 0.96
F  0.5454  0.5381  0.6588  1 H 0.96
F  0.3852  0.1808  0.0173  1 H 1.69, 1 F 1.71
F  0.8504  0.0119  0.1715  1 B 1.40
H  0.5149  0.5613  0.2086  1 F 0.96
F  0.1167  0.5824  0.1065  1 B 1.60

Output
Space group: P-1, No. 2
Total energy (eV per atom): -4.177

# 2
Computed, not measured: crystalline Cs2BHF at its relaxed geometry at the PBE level of DFT.

a = 6.1554 Å, b = 4.0700 Å, c = 6.1554 Å
α = 90.00°, β = 90.00°, γ = 90.00°
Last column: nearest neighbours and their distance in Å.
Fractional positions:
F  0.0000  0.5000  0.0000  2 B 2.03
H  0.5000  0.5000  0.5000  8 Cs 3.69, 2 H 4.07
Cs  0.5000  0.0000  0.0000  2 B 3.08
Cs  0.0000  0.0000  0.5000  2 B 3.08
B  0.0000  0.0000  0.0000  2 F 2.03

Output
Fermi-level density of states (states/eV per atom): 0.222
Space group: P4/mmm, No. 123
Total energy (eV per atom): -2.601

# 3
Computed, not measured: crystalline CsHgBF2 at its relaxed geometry at the PBE level of DFT.

a = 4.8612 Å, b = 4.2697 Å, c = 4.8612 Å
α = 90.00°, β = 90.00°, γ = 90.00°
Last column: nearest neighbours and their distance in Å.
Fractional positions:
Hg  0.0000  0.5000  0.0000  2 B 2.13
Cs  0.5000  0.5000  0.5000  8 F 3.24, 4 Hg 3.44
F  0.0000  0.0000  0.5000  2 B 2.43
F  0.5000  0.0000  0.0000  2 B 2.43
B  0.0000  0.0000  0.0000  2 Hg 2.13

Output
Formation energy without anion corrections (eV per atom): -0.9069
Fermi-level density of states (states/eV per atom): 0.000
Space group: P4/mmm, No. 123
Total energy (eV per atom): -3.222

# 4
Computed, not measured: crystalline CsHgB2F8 at its relaxed geometry at the PBE level of DFT.

a = 5.4503 Å, b = 5.4503 Å, c = 8.9019 Å
α = 72.17°, β = 72.17°, γ = 60.00°
Last column: nearest neighbours and their distance in Å.
Fractional positions:
F  0.8054  0.8054  0.5839  1 B 1.42
F  0.0051  0.4922  0.1899  1 B 1.42
B  0.7484  0.7484  0.7548  4 F 1.42
Cs  0.5000  0.5000  0.5000  12 F 3.22-3.24
F  0.6872  0.9949  0.8101  1 B 1.42
F  0.4922  0.3128  0.1899  1 B 1.42
B  0.2516  0.2516  0.2452  4 F 1.42
F  0.5078  0.6872  0.8101  1 B 1.42
F  0.9949  0.5078  0.8101  1 B 1.42
Hg  0.0000  0.0000  0.0000  6 F 2.76
F  0.3128  0.0051  0.1899  1 B 1.42
F  0.1946  0.1946  0.4161  1 B 1.42

Output
Formation energy without anion corrections (eV per atom): -2.6127
Fermi-level density of states (states/eV per atom): 0.151
Space group: R-3, No. 148
Total energy (eV per atom): -5.069

# 5
Computed, not measured: crystalline Cs2BI6F at its relaxed geometry at the PBE level of DFT.

a = 8.4017 Å, b = 8.4017 Å, c = 8.2146 Å
α = 59.24°, β = 59.24°, γ = 90.00°
Last column: nearest neighbours and their distance in Å.
Fractional positions:
B  0.5000  0.5000  0.0000  4 I 2.44
Cs  0.7500  0.2500  0.5000  12 I 4.14-4.23
I  0.7054  0.2946  0.0000  1 B 2.44
F  0.0000  0.0000  0.0000  2 I 2.32
I  0.2946  0.7054  0.0000  1 B 2.44
Cs  0.2500  0.7500  0.5000  12 I 4.14-4.23
I  0.2946  0.2946  0.0000  1 B 2.44
I  0.7957  0.7957  0.4085  1 F 2.32
I  0.2043  0.2043  0.5915  1 F 2.32
I  0.7054  0.7054  0.0000  1 B 2.44

Output
Formation energy without anion corrections (eV per atom): -0.4794
Fermi-level density of states (states/eV per atom): 0.000
Space group: I4/mmm, No. 139
Total energy (eV per atom): -2.435

# 6
Computed, not measured: crystalline Cs2BIrF at its relaxed geometry at the PBE level of DFT.

a = 6.0489 Å, b = 4.0488 Å, c = 6.0489 Å
α = 90.00°, β = 90.00°, γ = 90.00°
Last column: nearest neighbours and their distance in Å.
Fractional positions:
F  0.0000  0.0000  0.0000  2 B 2.02
B  0.0000  0.5000  0.0000  2 F 2.02
Cs  0.0000  0.0000  0.5000  2 F 3.02
Ir  0.5000  0.5000  0.5000  8 Cs 3.64, 2 Ir 4.05
Cs  0.5000  0.0000  0.0000  2 F 3.02

Output
Formation energy without anion corrections (eV per atom): 0.7626
Fermi-level density of states (states/eV per atom): 2.347
Space group: P4/mmm, No. 123
Total energy (eV per atom): -3.061

# 7
Computed, not measured: crystalline Cs2KBF6 at its relaxed geometry at the PBE level of DFT.

a = 6.1762 Å, b = 6.1761 Å, c = 6.1820 Å
α = 60.01°, β = 60.01°, γ = 89.99°
Last column: nearest neighbours and their distance in Å.
Fractional positions:
K  0.0000  0.0000  0.0000  6 F 2.70
F  0.6908  0.6908  0.6184  1 B 1.67
Cs  0.2500  0.7500  0.5000  12 F 3.13
Cs  0.7500  0.2500  0.5000  12 F 3.13
F  0.6903  0.3096  0.0000  1 B 1.66
F  0.3092  0.3092  0.3816  1 B 1.67
F  0.3096  0.6904  0.0000  1 B 1.66
F  0.3095  0.3095  0.0001  1 B 1.66
B  0.5000  0.5000  0.0000  6 F 1.66-1.67
F  0.6905  0.6905  0.9999  1 B 1.66

Output
Formation energy without anion corrections (eV per atom): -2.5745
Fermi-level density of states (states/eV per atom): 0.000
Space group: I4/mmm, No. 139
Total energy (eV per atom): -4.646

# 8
Computed, not measured: crystalline CsKB2F8 at its relaxed geometry at the PBE level of DFT.

a = 5.3970 Å, b = 5.3970 Å, c = 8.8450 Å
α = 90.00°, β = 90.00°, γ = 120.00°
Last column: nearest neighbours and their distance in Å.
Fractional positions:
F  0.4032  0.2988  0.2974  1 B 1.42
Cs  0.0000  0.0000  0.0000  12 F 3.20-3.28
K  0.0000  0.0000  0.5000  6 F 2.65
F  0.6667  0.3333  0.0839  1 B 1.42
F  0.7012  0.1044  0.2974  1 B 1.42
F  0.3333  0.6667  0.9161  1 B 1.42
F  0.1044  0.4032  0.7026  1 B 1.42
B  0.6667  0.3333  0.2445  4 F 1.42
F  0.2988  0.8956  0.7026  1 B 1.42
F  0.5968  0.7012  0.7026  1 B 1.42
B  0.3333  0.6667  0.7555  4 F 1.42
F  0.8956  0.5968  0.2974  1 B 1.42

Output
Formation energy without anion corrections (eV per atom): -3.0177
Fermi-level density of states (states/eV per atom): 0.000
Space group: P-3, No. 147
Total energy (eV per atom): -5.541

# 9
Computed, not measured: crystalline CsLiB2F8 at its relaxed geometry at the PBE level of DFT.

a = 5.1153 Å, b = 5.1153 Å, c = 8.3716 Å
α = 72.21°, β = 72.21°, γ = 60.00°
Last column: nearest neighbours and their distance in Å.
Fractional positions:
F  0.2032  0.2032  0.3905  1 B 1.44
Li  0.0000  0.0000  0.0000  6 F 2.08
B  0.2643  0.2643  0.2072  4 F 1.41-1.44
F  0.5739  0.2115  0.1518  1 B 1.41
F  0.7885  0.9372  0.8482  1 B 1.41
F  0.9372  0.4261  0.8482  1 B 1.41
B  0.7357  0.7357  0.7928  4 F 1.41-1.44
Cs  0.5000  0.5000  0.5000  6 F 3.08
F  0.4261  0.7885  0.8482  1 B 1.41
F  0.2115  0.0628  0.1518  1 B 1.41
F  0.0628  0.5739  0.1518  1 B 1.41
F  0.7968  0.7968  0.6095  1 B 1.44

Output
Formation energy without anion corrections (eV per atom): -2.9947
Fermi-level density of states (states/eV per atom): 0.000
Space group: R-3, No. 148
Total energy (eV per atom): -5.586

# 10
Computed, not measured: crystalline CsMgB2F8 at its relaxed geometry at the PBE level of DFT.

a = 5.3085 Å, b = 5.3085 Å, c = 8.8543 Å
α = 72.56°, β = 72.56°, γ = 60.00°
Last column: nearest neighbours and their distance in Å.
Fractional positions:
F  0.0448  0.5497  0.1678  1 B 1.43
F  0.5497  0.2377  0.1678  1 B 1.43
F  0.2021  0.2021  0.3938  1 B 1.42
F  0.7979  0.7979  0.6062  1 B 1.42
F  0.2377  0.0448  0.1678  1 B 1.43
Cs  0.5000  0.5000  0.5000  12 F 3.19-3.50
F  0.7623  0.9552  0.8322  1 B 1.43
F  0.9552  0.4503  0.8322  1 B 1.43
B  0.2590  0.2590  0.2229  4 F 1.42-1.43
F  0.4503  0.7623  0.8322  1 B 1.43
B  0.7410  0.7410  0.7771  4 F 1.42-1.43
Mg  0.0000  0.0000  0.0000  6 F 2.34

Output
Formation energy without anion corrections (eV per atom): -2.7441
Fermi-level density of states (states/eV per atom): 0.205
Space group: R-3, No. 148
Total energy (eV per atom): -5.309